Below is a relaxed YbNbRu2 crystal, with properties calculated at the PBE level.

Lattice parameters (Å, degrees): 6.4338 6.4338 6.4338 90.00 90.00 90.00
With the nearest neighbours (Å) after each atom.
Fractional positions:
1 Yb 0.0000 0.0000 0.0000  8 Ru 2.79
2 Yb 0.0000 0.5000 0.5000  8 Ru 2.79
3 Yb 0.5000 0.0000 0.5000  8 Ru 2.79
4 Yb 0.5000 0.5000 0.0000  8 Ru 2.79
5 Nb 0.0000 0.0000 0.5000  8 Ru 2.79
6 Nb 0.0000 0.5000 0.0000  8 Ru 2.79
7 Nb 0.5000 0.0000 0.0000  8 Ru 2.79
8 Nb 0.5000 0.5000 0.5000  8 Ru 2.79
9 Ru 0.2500 0.2500 0.2500  4 Nb 2.79, 4 Yb 2.79
10 Ru 0.2500 0.2500 0.7500  4 Nb 2.79, 4 Yb 2.79
11 Ru 0.2500 0.7500 0.2500  4 Nb 2.79, 4 Yb 2.79
12 Ru 0.2500 0.7500 0.7500  4 Nb 2.79, 4 Yb 2.79
13 Ru 0.7500 0.2500 0.2500  4 Nb 2.79, 4 Yb 2.79
14 Ru 0.7500 0.2500 0.7500  4 Nb 2.79, 4 Yb 2.79
15 Ru 0.7500 0.7500 0.2500  4 Nb 2.79, 4 Yb 2.79
16 Ru 0.7500 0.7500 0.7500  4 Nb 2.79, 4 Yb 2.79

Summary:
As for the formation energy from the elements: -177 meV/atom.